Entry 1:
VASP calculation (PBE with a Hubbard U) on FeAgAu2F after structural relaxation.

Lattice parameters (Å, degrees): 5.078 5.015 5.078 90.00 90.00 90.00
Sites, in units of the cell vectors:
1 Ag 0.000 0.000 0.000
2 F 0.500 0.500 0.500
3 Au 0.000 0.000 0.500
4 Au 0.500 0.000 0.000
5 Fe 0.000 0.500 0.000

Output
total energy	-13.03	eV per cell
V	25.87	A^3/atom
space group	P4/mmm (123)

---

Entry 2:
VASP calculation (PBE with a Hubbard U) on FeAgAuF6 after structural relaxation.

Lattice parameters (Å, degrees): 5.077 5.077 10.585 90.00 90.00 90.00
Sites, in units of the cell vectors:
1 F 0.682 0.682 0.694
2 F 0.766 0.234 0.836
3 F 0.305 0.305 0.973
4 F 0.234 0.766 0.836
5 F 0.195 0.805 0.473
6 F 0.182 0.818 0.194
7 F 0.818 0.182 0.194
8 F 0.318 0.318 0.694
9 F 0.805 0.195 0.473
10 F 0.266 0.266 0.336
11 F 0.734 0.734 0.336
12 F 0.695 0.695 0.973
13 Fe 0.500 0.500 0.832
14 Fe 0.000 0.000 0.332
15 Au 0.000 0.000 0.993
16 Au 0.500 0.500 0.493
17 Ag 0.500 0.500 0.169
18 Ag 0.000 0.000 0.669

Output
total energy	-73.83	eV per cell
V	15.16	A^3/atom
space group	P4_2nm (102)

---

Question: Which formula does entry 1 have?
Answer: FeAgAu2F

---

Question: The highest total energy belongs to which entry?
Answer: FeAgAu2F